Here is a relaxed structure of MgCdTeO from the Open Quantum Materials Database. Energies are from GGA-PBE.

Cell lengths 3.990, 3.990, 12.398 Å; angles 90.00, 90.00, 120.00 degrees
Fractional coordinates of all 8 atoms:
1 Cd 0.333 0.667 0.275
2 Cd 0.667 0.333 0.775
3 Te 0.667 0.333 0.102
4 Te 0.333 0.667 0.602
5 O 0.000 0.000 0.828
6 O 0.000 0.000 0.328
7 Mg 0.000 0.000 0.482
8 Mg 0.000 0.000 0.982

## Properties
E	-28.3	eV for the cell shown
density	5.44	Mg/m³
space group	P6_3mc (186)